Entry 1:
Compound: Na3Tl4Zn2
Source: Alexandria via LeMat-Bulk
Functional: PBE
Structure: relaxed

Calculated values
The formation energy is -43 meV per atom. The symmetry is C2/m, No. 12.

Geometry as CIF:
```
data_Na3Tl4Zn2
_cell_length_a 6.243
_cell_length_b 6.243
_cell_length_c 9.290
_cell_angle_alpha 118.51
_cell_angle_beta 118.51
_cell_angle_gamma 48.74
_space_group_name_H-M_alt 'P 1'
_space_group_IT_number 1
_space_group_name_Hall 'P 1'
loop_
_atom_site_label
_atom_site_fract_x
_atom_site_fract_y
_atom_site_fract_z
Na1 0.000 0.000 0.000
Na2 0.340 0.340 0.330
Na3 0.660 0.660 0.670
Tl1 0.082 0.082 0.401
Tl2 0.304 0.304 0.953
Tl3 0.696 0.696 0.047
Tl4 0.918 0.918 0.599
Zn1 0.391 0.391 0.717
Zn2 0.609 0.609 0.283
```


Entry 2:
Compound: LiSm4Tm3S8
Source: Alexandria via LeMat-Bulk
Functional: PBE
Structure: relaxed

Calculated values
The symmetry is R-3m, No. 166.

Geometry as CIF:
```
data_LiSm4Tm3S8
_cell_length_a 7.877
_cell_length_b 7.877
_cell_length_c 7.877
_cell_angle_alpha 59.33
_cell_angle_beta 59.33
_cell_angle_gamma 59.33
_space_group_name_H-M_alt 'P 1'
_space_group_IT_number 1
_space_group_name_Hall 'P 1'
loop_
_atom_site_label
_atom_site_fract_x
_atom_site_fract_y
_atom_site_fract_z
Li1 0.000 0.000 0.000
Sm1 0.000 0.000 0.500
Sm2 0.000 0.500 0.000
Sm3 0.500 0.000 0.000
Sm4 0.500 0.500 0.500
Tm1 0.000 0.500 0.500
Tm2 0.500 0.000 0.500
Tm3 0.500 0.500 0.000
S1 0.242 0.242 0.748
S2 0.242 0.748 0.242
S3 0.252 0.758 0.758
S4 0.255 0.255 0.255
S5 0.745 0.745 0.745
S6 0.748 0.242 0.242
S7 0.758 0.252 0.758
S8 0.758 0.758 0.252
```


Entry 3:
Compound: SbAsPt2
Source: Alexandria via LeMat-Bulk
Functional: PBE
Structure: relaxed

Calculated values
Its energy above the lowest structure with this stoichiometry is 0.000 eV per atom. The symmetry is P3m1, No. 156.

Geometry as CIF:
```
data_SbAsPt2
_cell_length_a 4.001
_cell_length_b 4.001
_cell_length_c 6.360
_cell_angle_alpha 90.00
_cell_angle_beta 90.00
_cell_angle_gamma 120.00
_space_group_name_H-M_alt 'P 1'
_space_group_IT_number 1
_space_group_name_Hall 'P 1'
loop_
_atom_site_label
_atom_site_fract_x
_atom_site_fract_y
_atom_site_fract_z
Sb1 0.000 0.000 0.000
As1 0.000 0.000 0.565
Pt1 0.333 0.667 0.185
Pt2 0.667 0.333 0.433
```


Results for E_tot: -1.818; -6.156; -5.570 (in eV/atom, following the order of the records).
Results for total magnetic moment: 0.00; 0.00; 0.00 (in Bohr magnetons per cell, following the order of the records).